[1]
Below is a geometry-optimized Sm2Sc3Si4 structure, with properties calculated at the PBEsol level.

Cell: 7.0947 7.3815 13.9545 Å, 90.00 90.00 90.00°
Closest atoms and distances in Å follow each position.
Fractional positions:
Sm 0.9888 0.8261 0.0969  6 Si 2.94-3.06
Sm 0.0112 0.1739 0.9031  6 Si 2.94-3.06
Sm 0.5112 0.3261 0.9031  6 Si 2.94-3.06
Sm 0.0112 0.1739 0.5969  6 Si 2.94-3.06
Sm 0.4888 0.6739 0.0969  6 Si 2.94-3.06
Sm 0.9888 0.8261 0.4031  6 Si 2.94-3.06
Sm 0.4888 0.6739 0.4031  6 Si 2.94-3.06
Sm 0.5112 0.3261 0.5969  6 Si 2.94-3.06
Sc 0.8372 0.4977 0.7500  6 Si 2.79-2.97
Sc 0.1628 0.5023 0.2500  6 Si 2.79-2.97
Sc 0.6628 0.9977 0.2500  6 Si 2.79-2.97
Sc 0.3372 0.0023 0.7500  6 Si 2.79-2.97
Sc 0.6700 0.8237 0.6253  6 Si 2.72-2.83
Sc 0.3300 0.1763 0.3747  6 Si 2.72-2.83
Sc 0.8300 0.3237 0.3747  6 Si 2.72-2.83
Sc 0.3300 0.1763 0.1253  6 Si 2.72-2.83
Sc 0.1700 0.6763 0.6253  6 Si 2.72-2.83
Sc 0.6700 0.8237 0.8747  6 Si 2.72-2.83
Sc 0.1700 0.6763 0.8747  6 Si 2.72-2.83
Sc 0.8300 0.3237 0.1253  6 Si 2.72-2.83
Si 0.9654 0.8805 0.7500  1 Si 2.53, 5 Sc 2.72-2.79
Si 0.0346 0.1195 0.2500  1 Si 2.53, 5 Sc 2.72-2.79
Si 0.5346 0.3805 0.2500  1 Si 2.53, 5 Sc 2.72-2.79
Si 0.4654 0.6195 0.7500  1 Si 2.53, 5 Sc 2.72-2.79
Si 0.7133 0.1230 0.7500  1 Si 2.53, 3 Sc 2.81-2.83
Si 0.2867 0.8770 0.2500  1 Si 2.53, 3 Sc 2.81-2.83
Si 0.7867 0.6230 0.2500  1 Si 2.53, 3 Sc 2.81-2.83
Si 0.2133 0.3770 0.7500  1 Si 2.53, 3 Sc 2.81-2.83
Si 0.8453 0.5362 0.5392  1 Si 2.51, 3 Sc 2.74-2.80
Si 0.1547 0.4638 0.4608  1 Si 2.51, 3 Sc 2.74-2.80
Si 0.6547 0.0362 0.4608  1 Si 2.51, 3 Sc 2.74-2.80
Si 0.1547 0.4638 0.0392  1 Si 2.51, 3 Sc 2.74-2.80
Si 0.3453 0.9638 0.5392  1 Si 2.51, 3 Sc 2.74-2.80
Si 0.8453 0.5362 0.9608  1 Si 2.51, 3 Sc 2.74-2.80
Si 0.3453 0.9638 0.9608  1 Si 2.51, 3 Sc 2.74-2.80
Si 0.6547 0.0362 0.0392  1 Si 2.51, 3 Sc 2.74-2.80

Calculated values
The uncorrected formation energy is -0.876 eV per atom. Its calculated density is 4.98 g cm⁻³. Its total energy is -6.763 eV/atom. For the size of the total moment, the calculation gives 0.0001 μB per atom.

---

[2]
Below is a geometry-optimized SrBe3Br structure, with properties calculated at the PBEsol level.

Cell: 4.7556 4.7556 4.7556 Å, 90.00 90.00 90.00°
Closest atoms and distances in Å follow each position.
Fractional positions:
Sr 0.5000 0.5000 0.5000  12 Be 3.36
Br 0.0000 0.0000 0.0000  6 Be 2.38
Be 0.0000 0.5000 0.0000  2 Br 2.38
Be 0.0000 0.0000 0.5000  2 Br 2.38
Be 0.5000 0.0000 0.0000  2 Br 2.38

Calculated values
The uncorrected formation energy is 1.128 eV per atom. Its calculated density is 3.00 g cm⁻³. Its total energy is -2.014 eV/atom. For the size of the total moment, the calculation gives 0.0001 μB per atom.

---

[3]
Below is a geometry-optimized OsRh3 structure, with properties calculated at the PBEsol level.

Cell: 2.6923 4.6600 5.0989 Å, 117.19 105.31 90.00°
Closest atoms and distances in Å follow each position.
Fractional positions:
Rh 0.7471 0.4121 0.4942  3 Os 2.64-2.69, 9 Rh 2.66-2.69
Rh 0.5000 0.5030 0.0000  8 Rh 2.66-2.69, 4 Os 2.68-2.70
Rh 0.2529 0.9180 0.5058  3 Os 2.64-2.69, 9 Rh 2.66-2.69
Os 0.0000 0.0003 0.0000  10 Rh 2.64-2.70, 2 Os 2.69

Calculated values
Its calculated density is 15.25 g cm⁻³. As for the formation energy: 47 meV per atom. Its total energy is -9.111 eV/atom. For the size of the total moment, the calculation gives 0.0001 μB per atom.